1.
Here is a relaxed Pa8Sn2Os crystal from Alexandria via LeMat-Bulk. Energies are from PBE.

Values from the calculation:
Its crystal system is monoclinic. The final energy comes out at -8.75 eV per atom. The calculation puts the energy relative to the elements at -0.099 eV/atom.

Cell: 15.826 5.446 6.748 Å, 90.00 112.38 90.00°
Space group C2/m (No. 12)
Inequivalent atoms, fractional coordinates:
Pa  0.003  0.000  0.256 x4
Pa  0.113  0.500  0.923 x4
Pa  0.140  0.500  0.357 x4
Pa  0.167  0.000  0.657 x4
Sn  0.198  0.000  0.176 x4
Os  0.000  0.500  0.500 x2


2.
Here is a relaxed ScMoPb4 crystal from Alexandria via LeMat-Bulk. Energies are from PBE.

Values from the calculation:
Its crystal system is cubic. The final energy comes out at -4.55 eV per atom. The calculation puts the energy relative to the elements at 0.787 eV/atom.

Cell: 8.907 8.907 8.907 Å, 90.00 90.00 90.00°
Space group F-43m (No. 216)
Inequivalent atoms, fractional coordinates:
Sc  0.000  0.000  0.000 x4
Mo  0.250  0.250  0.750 x4
Pb  0.125  0.125  0.375 x16


3.
Here is a relaxed Mg3In3Hg2 crystal from Alexandria via LeMat-Bulk. Energies are from PBE.

Values from the calculation:
Its crystal system is orthorhombic. The final energy comes out at -1.79 eV per atom. The value obtained for the polymorph energy (0 for the lowest one) is 0.000 eV per atom. The calculation puts the energy relative to the elements at -0.093 eV/atom.

Cell: 4.371 4.584 9.348 Å, 90.00 90.00 90.00°
Space group Pmmm (No. 47)
Inequivalent atoms, fractional coordinates:
Mg  0.000  0.000  0.000 x1
Mg  0.000  0.500  0.249 x2
In  0.000  0.000  0.500 x1
In  0.500  0.500  0.000 x1
In  0.500  0.500  0.500 x1
Hg  0.500  0.000  0.234 x2


4.
Here is a relaxed BAs2C crystal from Alexandria via LeMat-Bulk. Energies are from PBE.

Values from the calculation:
Its crystal system is tetragonal. The final energy comes out at -5.56 eV per atom. The value obtained for the polymorph energy (0 for the lowest one) is 0.000 eV per atom. The calculation puts the energy relative to the elements at 0.736 eV/atom.

Cell: 4.746 4.746 9.686 Å, 90.00 90.00 90.00°
Space group I-42d (No. 122)
Inequivalent atoms, fractional coordinates:
B  0.000  0.000  0.000 x4
As  0.248  0.250  0.125 x8
C  0.000  0.000  0.500 x4


5.
Here is a relaxed PrDy2N3 crystal from Alexandria via LeMat-Bulk. Energies are from PBE.

Values from the calculation:
Its crystal system is monoclinic. The final energy comes out at -8.03 eV per atom. The value obtained for the formation energy from raw total energies is -9.2 eV/f.u.

Cell: 6.146 10.648 6.146 Å, 90.00 109.45 90.00°
Space group C2/m (No. 12)
Inequivalent atoms, fractional coordinates:
Pr  0.000  0.167  0.000 x4
Dy  0.000  0.000  0.500 x2
Dy  0.000  0.335  0.500 x4
Dy  0.000  0.500  0.000 x2
N  0.238  0.500  0.741 x4
N  0.248  0.338  0.259 x8


6.
Here is a relaxed NaTl5Pt crystal from Alexandria via LeMat-Bulk. Energies are from PBE.

Values from the calculation:
Its crystal system is tetragonal. The final energy comes out at -2.83 eV per atom. The calculation puts the energy relative to the elements at -0.087 eV/atom.

Cell: 4.864 4.864 8.075 Å, 90.00 90.00 90.00°
Space group P4/mmm (No. 123)
Inequivalent atoms, fractional coordinates:
Na  0.000  0.000  0.000 x1
Tl  0.000  0.500  0.297 x4
Tl  0.500  0.500  0.000 x1
Pt  0.000  0.000  0.500 x1


7.
Here is a relaxed Ca3PrHo2Se6 crystal from Alexandria via LeMat-Bulk. Energies are from PBE.

Values from the calculation:
Its crystal system is monoclinic. The final energy comes out at -5.28 eV per atom. The value obtained for the formation energy from raw total energies is -22.5 eV/f.u.

Cell: 7.174 12.409 7.275 Å, 90.00 109.25 90.00°
Space group C2/m (No. 12)
Inequivalent atoms, fractional coordinates:
Ca  0.000  0.000  0.000 x2
Ca  0.000  0.337  0.000 x4
Pr  0.000  0.500  0.500 x2
Ho  0.000  0.168  0.500 x4
Se  0.238  0.000  0.748 x4
Se  0.244  0.172  0.251 x8


8.
Here is a relaxed NbNiS crystal from Alexandria via LeMat-Bulk. Energies are from PBE.

Values from the calculation:
Its crystal system is monoclinic. The final energy comes out at -7.14 eV per atom. The value obtained for the polymorph energy (0 for the lowest one) is 0.093 eV per atom. The value obtained for the formation energy from raw total energies is -1.5 eV/f.u.

Cell: 9.358 3.141 6.210 Å, 90.00 105.30 90.00°
Space group C2/m (No. 12)
Inequivalent atoms, fractional coordinates:
Nb  0.160  0.000  0.128 x4
Ni  0.140  0.500  0.471 x4
S  0.067  0.500  0.802 x4


9.
Here is a relaxed Sr3Ag4Pb4 crystal from Alexandria via LeMat-Bulk. Energies are from PBE.

Values from the calculation:
Its crystal system is orthorhombic. The final energy comes out at -3.14 eV per atom. The calculation puts the energy relative to the elements at -0.299 eV/atom.

Cell: 4.964 7.816 16.222 Å, 90.00 90.00 90.00°
Space group Immm (No. 71)
Inequivalent atoms, fractional coordinates:
Sr  0.000  0.000  0.000 x2
Sr  0.000  0.500  0.130 x4
Ag  0.000  0.313  0.330 x8
Pb  0.000  0.000  0.220 x4
Pb  0.000  0.194  0.500 x4


10.
Here is a relaxed LiGaFeSe2 crystal from Alexandria via LeMat-Bulk. Energies are from PBE.

Values from the calculation:
Its crystal system is tetragonal. The final energy comes out at -4.18 eV per atom. The value obtained for the formation energy from raw total energies is -0.5 eV/f.u.

Cell: 4.807 4.807 4.507 Å, 90.00 90.00 90.00°
Space group P4/mmm (No. 123)
Inequivalent atoms, fractional coordinates:
Li  0.000  0.000  0.000 x1
Ga  0.500  0.500  0.000 x1
Fe  0.500  0.500  0.500 x1
Se  0.000  0.500  0.500 x2


11.
Here is a relaxed Ac6BiSb3Pb2 crystal from Alexandria via LeMat-Bulk. Energies are from PBE.

Values from the calculation:
Its crystal system is monoclinic. The final energy comes out at -4.92 eV per atom. The value obtained for the formation energy from raw total energies is -10.7 eV/f.u.

Cell: 21.264 4.760 9.827 Å, 90.00 105.36 90.00°
Space group C2/m (No. 12)
Inequivalent atoms, fractional coordinates:
Ac  0.000  0.000  0.247 x4
Ac  0.164  0.500  0.094 x4
Ac  0.168  0.500  0.582 x4
Bi  0.000  0.500  0.500 x2
Sb  0.000  0.500  0.000 x2
Sb  0.165  0.000  0.338 x4
Pb  0.169  0.000  0.841 x4


12.
Here is a relaxed LiCdIn2Ni crystal from Alexandria via LeMat-Bulk. Energies are from PBE.

Values from the calculation:
Its crystal system is tetragonal. The final energy comes out at -2.80 eV per atom. The value obtained for the polymorph energy (0 for the lowest one) is 0.049 eV per atom. The calculation puts the energy relative to the elements at 0.018 eV/atom.

Cell: 4.901 4.901 4.599 Å, 90.00 90.00 90.00°
Space group P4/mmm (No. 123)
Inequivalent atoms, fractional coordinates:
Li  0.000  0.000  0.000 x1
Cd  0.500  0.500  0.000 x1
In  0.000  0.500  0.500 x2
Ni  0.000  0.000  0.500 x1


13.
Here is a relaxed NdYAg crystal from Alexandria via LeMat-Bulk. Energies are from PBE.

Values from the calculation:
Its crystal system is monoclinic. The final energy comes out at -4.86 eV per atom. The value obtained for the polymorph energy (0 for the lowest one) is 0.011 eV per atom. The calculation puts the energy relative to the elements at -0.165 eV/atom.

Cell: 13.138 3.861 8.587 Å, 90.00 126.72 90.00°
Space group C2/m (No. 12)
Inequivalent atoms, fractional coordinates:
Nd  0.101  0.000  0.375 x4
Y  0.152  0.500  0.059 x4
Ag  0.129  0.500  0.684 x4


14.
Here is a relaxed Th2AlGe crystal from Alexandria via LeMat-Bulk. Energies are from PBE.

Values from the calculation:
Its crystal system is monoclinic. The final energy comes out at -6.36 eV per atom. The value obtained for the polymorph energy (0 for the lowest one) is 0.000 eV per atom. The calculation puts the energy relative to the elements at -0.560 eV/atom.

Cell: 6.061 4.113 8.791 Å, 90.00 108.02 90.00°
Space group P2_1/m (No. 11)
Inequivalent atoms, fractional coordinates:
Th  0.208  0.250  0.426 x2
Th  0.284  0.750  0.068 x2
Al  0.365  0.750  0.713 x2
Ge  0.139  0.250  0.788 x2


15.
Here is a relaxed Hf2TaAl3 crystal from Alexandria via LeMat-Bulk. Energies are from PBE.

Values from the calculation:
Its crystal system is orthorhombic. The final energy comes out at -7.37 eV per atom. The calculation puts the energy relative to the elements at -0.208 eV/atom.

Cell: 8.371 10.148 5.231 Å, 90.00 90.00 90.00°
Space group Cmcm (No. 63)
Inequivalent atoms, fractional coordinates:
Hf  0.166  0.230  0.250 x8
Ta  0.000  0.073  0.750 x4
Al  0.000  0.336  0.750 x4
Al  0.216  0.500  0.000 x8


16.
Here is a relaxed Rb3Er3HfS8 crystal from Alexandria via LeMat-Bulk. Energies are from PBE.

Values from the calculation:
Its crystal system is trigonal. The final energy comes out at -5.79 eV per atom. The value obtained for the formation energy from raw total energies is -27.3 eV/f.u.

Cell: 7.8864 7.8864 23.4940 Å, 90.00 90.00 120.00°
Space group R-3m (No. 166, hexagonal axes)
Inequivalent atoms, fractional coordinates:
Rb  0.0000  0.5000  0.0000 x9
Er  0.0000  0.5000  0.5000 x9
Hf  0.0000  0.0000  0.5000 x3
S  0.0000  0.0000  0.2298 x6
S  0.0168  0.5084  0.2276 x18